Entry 1:
{
  "formula": "Tm3Cu4Ni2",
  "functional": "PBE-GGA",
  "state": "optimized geometry",
  "m_tot_mub_per_fu": 0.0,
  "total_energy_ev_per_cell": -44.2,
  "ef_ev_per_atom": -0.32,
  "lattice_angstrom": [[-1.046, -2.686, -2.846], [4.361, -1.928, -2.665], [2.012, -7.165, 3.141]],
  "species": ["Cu", "Ni", "Tm", "Ni", "Tm", "Cu", "Cu", "Cu", "Tm"],
  "frac_coords": [[0.034, 0.305, 0.628], [0.599, 0.068, 0.734], [0.000, 0.000, 0.000], [0.401, 0.932, 0.266], [0.680, 0.291, 0.350], [0.276, 0.384, 0.064], [0.966, 0.695, 0.372], [0.724, 0.616, 0.936], [0.320, 0.709, 0.650]]
}

***

Entry 2:
{
  "formula": "HoScTcPt",
  "functional": "PBE-GGA",
  "state": "optimized geometry",
  "m_tot_mub_per_fu": 0.0,
  "total_energy_ev_per_cell": -29.9,
  "ef_ev_per_atom": -0.64,
  "lattice_angstrom": [[4.726, 0.000, 0.000], [2.363, 4.093, 0.000], [2.363, 1.364, 3.859]],
  "species": ["Tc", "Pt", "Sc", "Ho"],
  "frac_coords": [[0.250, 0.250, 0.250], [0.750, 0.750, 0.750], [0.500, 0.500, 0.500], [0.000, 0.000, 0.000]]
}

***

Entry 3:
{
  "formula": "ReSbAs2",
  "functional": "PBE-GGA",
  "state": "optimized geometry",
  "m_tot_mub_per_fu": 0.0,
  "total_energy_ev_per_cell": -23.1,
  "e_form_raw_ev_per_atom": 0.68,
  "lattice_angstrom": [[4.695, 0.000, 0.000], [2.348, 4.066, 0.000], [2.348, 1.355, 3.833]],
  "species": ["Sb", "As", "As", "Re"],
  "frac_coords": [[0.750, 0.750, 0.750], [0.250, 0.250, 0.250], [0.000, 0.000, 0.000], [0.500, 0.500, 0.500]]
}

***

Entry 4:
{
  "formula": "Tb4Y5Tm3",
  "functional": "PBE-GGA",
  "state": "optimized geometry",
  "de_polymorph_mev_per_atom": 215,
  "m_tot_mub_per_fu": 0.6,
  "total_energy_ev_per_cell": -61.4,
  "ef_ev_per_atom": 0.24,
  "lattice_angstrom": [[-4.631, 3.485, -0.800], [-6.796, -3.168, 4.140], [1.955, 8.454, 4.120]],
  "species": ["Y", "Tb", "Y", "Tb", "Tm", "Y", "Y", "Tm", "Y", "Tm", "Tb", "Tb"],
  "frac_coords": [[0.631, 0.943, 0.795], [0.860, 0.221, 0.058], [0.500, 0.500, 0.500], [0.140, 0.779, 0.942], [0.478, 0.312, 0.732], [0.788, 0.539, 0.884], [0.212, 0.461, 0.116], [0.000, 0.500, 0.500], [0.369, 0.057, 0.205], [0.522, 0.688, 0.268], [0.836, 0.948, 0.380], [0.164, 0.052, 0.620]]
}

***

Entry 5:
{
  "formula": "CeNd3S4",
  "functional": "PBE-GGA",
  "state": "optimized geometry",
  "m_tot_mub_per_fu": 1.1,
  "total_energy_ev_per_cell": -53.0,
  "e_form_raw_ev_per_atom": -2.03,
  "lattice_angstrom": [[5.249, 0.005, -2.326], [-1.036, 5.145, -2.326], [-0.022, -0.028, 7.032]],
  "species": ["Nd", "S", "S", "S", "S", "Ce", "Nd", "Nd"],
  "frac_coords": [[0.250, 0.750, 0.500], [0.000, 0.500, 0.000], [0.500, 0.000, 0.000], [0.248, 0.248, 0.497], [0.752, 0.752, 0.503], [0.000, 0.000, 0.000], [0.750, 0.250, 0.500], [0.500, 0.500, 0.000]]
}

***

Entry 6:
{
  "formula": "NaAc2Au2O6",
  "functional": "PBE-GGA",
  "state": "optimized geometry",
  "m_tot_mub_per_fu": 1.4,
  "total_energy_ev_per_cell": -60.3,
  "e_form_raw_ev_per_atom": -1.32,
  "lattice_angstrom": [[-6.072, 0.756, -0.363], [-3.367, 0.269, 5.115], [-2.431, 6.170, 1.749]],
  "species": ["O", "O", "Na", "Ac", "O", "Au", "O", "Ac", "O", "O", "Au"],
  "frac_coords": [[0.242, 0.816, 0.700], [0.816, 0.242, 0.700], [0.000, 0.000, 0.000], [0.209, 0.209, 0.373], [0.242, 0.242, 0.700], [0.583, 0.583, 0.251], [0.758, 0.758, 0.300], [0.791, 0.791, 0.627], [0.184, 0.758, 0.300], [0.758, 0.184, 0.300], [0.417, 0.417, 0.749]]
}

***

Entry 7:
{
  "formula": "NpGaCu2O8",
  "functional": "PBE-GGA",
  "state": "optimized geometry",
  "m_tot_mub_per_fu": 0.3,
  "total_energy_ev_per_cell": -77.9,
  "e_form_raw_ev_per_atom": -1.17,
  "lattice_angstrom": [[5.675, 0.586, 0.000], [-1.992, 5.347, 0.000], [-1.842, -2.967, 4.512]],
  "species": ["Ga", "O", "O", "Cu", "O", "O", "O", "Cu", "O", "Np", "O", "O"],
  "frac_coords": [[0.250, 0.750, 0.500], [0.949, 0.251, 0.302], [0.352, 0.051, 0.302], [0.500, 0.500, 0.000], [0.949, 0.648, 0.698], [0.749, 0.051, 0.698], [0.897, 0.702, 0.195], [0.750, 0.250, 0.500], [0.298, 0.493, 0.195], [0.000, 0.000, 0.000], [0.298, 0.103, 0.805], [0.507, 0.702, 0.805]]
}

***

Entry 8:
{
  "formula": "InAsW2",
  "functional": "PBE-GGA",
  "state": "optimized geometry",
  "de_polymorph_mev_per_atom": 370,
  "m_tot_mub_per_fu": 0.0,
  "total_energy_ev_per_cell": -30.9,
  "ef_ev_per_atom": 0.59,
  "lattice_angstrom": [[-2.012, 1.979, -4.036], [-3.076, -1.041, -3.703], [-3.875, 1.607, 2.201]],
  "species": ["In", "As", "W", "W"],
  "frac_coords": [[0.250, 0.250, 0.250], [0.750, 0.750, 0.750], [0.503, 0.503, 0.515], [0.997, 0.997, 0.985]]
}